No. 1
First-principles (GGA-PBE) data for a relaxed structure of BeGaCuW, as listed in the Open Quantum Materials Database.

Computed properties:
uncorrected energy	-5.46	eV/atom
magnetic moment	2.47	Bohr magnetons per cell
E above lowest polymorph	0.000	eV per atom
SG	F-43m

Cell lengths 5.9290, 5.9290, 5.9290 Å; angles 90.00, 90.00, 90.00 degrees
With the nearest neighbours (Å) after each atom.
Fractional positions:
Be: 0.0000 0.0000 0.0000  4 Cu 2.57, 4 W 2.57
Be: 0.0000 0.5000 0.5000  4 Cu 2.57, 4 W 2.57
Be: 0.5000 0.0000 0.5000  4 Cu 2.57, 4 W 2.57
Be: 0.5000 0.5000 0.0000  4 Cu 2.57, 4 W 2.57
Ga: 0.0000 0.0000 0.5000  4 W 2.57, 4 Cu 2.57
Ga: 0.0000 0.5000 0.0000  4 W 2.57, 4 Cu 2.57
Ga: 0.5000 0.0000 0.0000  4 W 2.57, 4 Cu 2.57
Ga: 0.5000 0.5000 0.5000  4 W 2.57, 4 Cu 2.57
Cu: 0.2500 0.2500 0.7500  4 Be 2.57, 4 Ga 2.57
Cu: 0.2500 0.7500 0.2500  4 Be 2.57, 4 Ga 2.57
Cu: 0.7500 0.2500 0.2500  4 Be 2.57, 4 Ga 2.57
Cu: 0.7500 0.7500 0.7500  4 Be 2.57, 4 Ga 2.57
W: 0.2500 0.2500 0.2500  4 Be 2.57, 4 Ga 2.57
W: 0.2500 0.7500 0.7500  4 Be 2.57, 4 Ga 2.57
W: 0.7500 0.2500 0.7500  4 Be 2.57, 4 Ga 2.57
W: 0.7500 0.7500 0.2500  4 Be 2.57, 4 Ga 2.57


No. 2
First-principles (GGA-PBE) data for a relaxed structure of YBeGaCu, as listed in the Open Quantum Materials Database.

Computed properties:
uncorrected energy	-4.41	eV/atom
magnetic moment	0.00	Bohr magnetons per cell
E above lowest polymorph	0.000	eV per atom
SG	F-43m

Cell lengths 6.3346, 6.3346, 6.3346 Å; angles 90.00, 90.00, 90.00 degrees
With the nearest neighbours (Å) after each atom.
Fractional positions:
Y: 0.0000 0.0000 0.0000  4 Be 2.74, 4 Cu 2.74
Y: 0.0000 0.5000 0.5000  4 Be 2.74, 4 Cu 2.74
Y: 0.5000 0.0000 0.5000  4 Be 2.74, 4 Cu 2.74
Y: 0.5000 0.5000 0.0000  4 Be 2.74, 4 Cu 2.74
Be: 0.2500 0.2500 0.2500  4 Y 2.74, 4 Ga 2.74
Be: 0.2500 0.7500 0.7500  4 Y 2.74, 4 Ga 2.74
Be: 0.7500 0.2500 0.7500  4 Y 2.74, 4 Ga 2.74
Be: 0.7500 0.7500 0.2500  4 Y 2.74, 4 Ga 2.74
Ga: 0.0000 0.0000 0.5000  4 Be 2.74, 4 Cu 2.74
Ga: 0.0000 0.5000 0.0000  4 Be 2.74, 4 Cu 2.74
Ga: 0.5000 0.0000 0.0000  4 Be 2.74, 4 Cu 2.74
Ga: 0.5000 0.5000 0.5000  4 Be 2.74, 4 Cu 2.74
Cu: 0.2500 0.2500 0.7500  4 Y 2.74, 4 Ga 2.74
Cu: 0.2500 0.7500 0.2500  4 Y 2.74, 4 Ga 2.74
Cu: 0.7500 0.2500 0.2500  4 Y 2.74, 4 Ga 2.74
Cu: 0.7500 0.7500 0.7500  4 Y 2.74, 4 Ga 2.74


No. 3
First-principles (GGA-PBE) data for a relaxed structure of BeZnGaCu, as listed in the Open Quantum Materials Database.

Computed properties:
uncorrected energy	-2.77	eV/atom
E above lowest polymorph	0.000	eV per atom
SG	F-43m

Cell lengths 5.8916, 5.8916, 5.8916 Å; angles 90.00, 90.00, 90.00 degrees
With the nearest neighbours (Å) after each atom.
Fractional positions:
Be: 0.0000 0.0000 0.0000  4 Zn 2.55, 4 Ga 2.55
Be: 0.0000 0.5000 0.5000  4 Zn 2.55, 4 Ga 2.55
Be: 0.5000 0.0000 0.5000  4 Zn 2.55, 4 Ga 2.55
Be: 0.5000 0.5000 0.0000  4 Zn 2.55, 4 Ga 2.55
Zn: 0.2500 0.2500 0.7500  4 Be 2.55, 4 Cu 2.55
Zn: 0.2500 0.7500 0.2500  4 Be 2.55, 4 Cu 2.55
Zn: 0.7500 0.2500 0.2500  4 Be 2.55, 4 Cu 2.55
Zn: 0.7500 0.7500 0.7500  4 Be 2.55, 4 Cu 2.55
Ga: 0.2500 0.2500 0.2500  4 Be 2.55, 4 Cu 2.55
Ga: 0.2500 0.7500 0.7500  4 Be 2.55, 4 Cu 2.55
Ga: 0.7500 0.2500 0.7500  4 Be 2.55, 4 Cu 2.55
Ga: 0.7500 0.7500 0.2500  4 Be 2.55, 4 Cu 2.55
Cu: 0.0000 0.0000 0.5000  4 Zn 2.55, 4 Ga 2.55
Cu: 0.0000 0.5000 0.0000  4 Zn 2.55, 4 Ga 2.55
Cu: 0.5000 0.0000 0.0000  4 Zn 2.55, 4 Ga 2.55
Cu: 0.5000 0.5000 0.5000  4 Zn 2.55, 4 Ga 2.55


No. 4
First-principles (GGA-PBE) data for a relaxed structure of ZrBeGaCu, as listed in the Open Quantum Materials Database.

Computed properties:
uncorrected energy	-4.83	eV/atom
magnetic moment	0.00	Bohr magnetons per cell
E above lowest polymorph	0.051	eV per atom
SG	F-43m

Cell lengths 6.1697, 6.1697, 6.1697 Å; angles 90.00, 90.00, 90.00 degrees
With the nearest neighbours (Å) after each atom.
Fractional positions:
Zr: 0.0000 0.0000 0.0000  4 Ga 2.67, 4 Be 2.67
Zr: 0.0000 0.5000 0.5000  4 Ga 2.67, 4 Be 2.67
Zr: 0.5000 0.0000 0.5000  4 Ga 2.67, 4 Be 2.67
Zr: 0.5000 0.5000 0.0000  4 Ga 2.67, 4 Be 2.67
Be: 0.2500 0.2500 0.7500  4 Zr 2.67, 4 Cu 2.67
Be: 0.2500 0.7500 0.2500  4 Zr 2.67, 4 Cu 2.67
Be: 0.7500 0.2500 0.2500  4 Zr 2.67, 4 Cu 2.67
Be: 0.7500 0.7500 0.7500  4 Zr 2.67, 4 Cu 2.67
Ga: 0.2500 0.2500 0.2500  4 Cu 2.67, 4 Zr 2.67
Ga: 0.2500 0.7500 0.7500  4 Zr 2.67, 4 Cu 2.67
Ga: 0.7500 0.2500 0.7500  4 Zr 2.67, 4 Cu 2.67
Ga: 0.7500 0.7500 0.2500  4 Zr 2.67, 4 Cu 2.67
Cu: 0.0000 0.0000 0.5000  4 Be 2.67, 4 Ga 2.67
Cu: 0.0000 0.5000 0.0000  4 Be 2.67, 4 Ga 2.67
Cu: 0.5000 0.0000 0.0000  4 Be 2.67, 4 Ga 2.67
Cu: 0.5000 0.5000 0.5000  4 Be 2.67, 4 Ga 2.67


No. 5
First-principles (GGA-PBE) data for a relaxed structure of ZrBeGaCu, as listed in the Open Quantum Materials Database.

Computed properties:
uncorrected energy	-4.88	eV/atom
magnetic moment	0.00	Bohr magnetons per cell
E above lowest polymorph	0.000	eV per atom
SG	F-43m

Cell lengths 6.1258, 6.1258, 6.1258 Å; angles 90.00, 90.00, 90.00 degrees
With the nearest neighbours (Å) after each atom.
Fractional positions:
Zr: 0.0000 0.0000 0.0000  4 Cu 2.65, 4 Be 2.65
Zr: 0.0000 0.5000 0.5000  4 Be 2.65, 4 Cu 2.65
Zr: 0.5000 0.0000 0.5000  4 Be 2.65, 4 Cu 2.65
Zr: 0.5000 0.5000 0.0000  4 Cu 2.65, 4 Be 2.65
Be: 0.2500 0.2500 0.2500  4 Zr 2.65, 4 Ga 2.65
Be: 0.2500 0.7500 0.7500  4 Zr 2.65, 4 Ga 2.65
Be: 0.7500 0.2500 0.7500  4 Zr 2.65, 4 Ga 2.65
Be: 0.7500 0.7500 0.2500  4 Zr 2.65, 4 Ga 2.65
Ga: 0.0000 0.0000 0.5000  4 Be 2.65, 4 Cu 2.65
Ga: 0.0000 0.5000 0.0000  4 Be 2.65, 4 Cu 2.65
Ga: 0.5000 0.0000 0.0000  4 Be 2.65, 4 Cu 2.65
Ga: 0.5000 0.5000 0.5000  4 Be 2.65, 4 Cu 2.65
Cu: 0.2500 0.2500 0.7500  4 Zr 2.65, 4 Ga 2.65
Cu: 0.2500 0.7500 0.2500  4 Zr 2.65, 4 Ga 2.65
Cu: 0.7500 0.2500 0.2500  4 Zr 2.65, 4 Ga 2.65
Cu: 0.7500 0.7500 0.7500  4 Zr 2.65, 4 Ga 2.65


No. 6
First-principles (GGA-PBE) data for a relaxed structure of GdBeCu, as listed in the Open Quantum Materials Database.

Computed properties:
uncorrected energy	-3.80	eV/atom
magnetic moment	1.24	Bohr magnetons per cell
SG	F-43m

Cell lengths 6.1665, 6.1665, 6.1665 Å; angles 90.00, 90.00, 90.00 degrees
With the nearest neighbours (Å) after each atom.
Fractional positions:
Gd: 0.0000 0.0000 0.0000  4 Cu 2.67
Gd: 0.0000 0.5000 0.5000  4 Cu 2.67
Gd: 0.5000 0.0000 0.5000  4 Cu 2.67
Gd: 0.5000 0.5000 0.0000  4 Cu 2.67
Be: 0.0000 0.0000 0.5000  4 Cu 2.67
Be: 0.0000 0.5000 0.0000  4 Cu 2.67
Be: 0.5000 0.0000 0.0000  4 Cu 2.67
Be: 0.5000 0.5000 0.5000  4 Cu 2.67
Cu: 0.2500 0.2500 0.7500  4 Gd 2.67, 4 Be 2.67
Cu: 0.2500 0.7500 0.2500  4 Gd 2.67, 4 Be 2.67
Cu: 0.7500 0.2500 0.2500  4 Gd 2.67, 4 Be 2.67
Cu: 0.7500 0.7500 0.7500  4 Gd 2.67, 4 Be 2.67


No. 7
First-principles (GGA-PBE) data for a relaxed structure of BeCu2Ge, as listed in the Open Quantum Materials Database.

Computed properties:
uncorrected energy	-3.83	eV/atom
SG	Pm-3m

Cell lengths 5.8122, 5.8122, 5.8122 Å; angles 90.00, 90.00, 90.00 degrees
With the nearest neighbours (Å) after each atom.
Fractional positions:
Be: 0.0000 0.0000 0.0000  8 Cu 2.28
Be: 0.0000 0.0000 0.5000  8 Cu 2.45
Be: 0.0000 0.5000 0.0000  8 Cu 2.45
Be: 0.5000 0.0000 0.0000  8 Cu 2.45
Cu: 0.2269 0.2269 0.2269  4 Be 2.28-2.45
Cu: 0.2269 0.2269 0.7731  4 Be 2.28-2.45
Cu: 0.2269 0.7731 0.2269  4 Be 2.28-2.45
Cu: 0.2269 0.7731 0.7731  4 Be 2.28-2.45
Cu: 0.7731 0.2269 0.2269  4 Be 2.28-2.45
Cu: 0.7731 0.2269 0.7731  4 Be 2.28-2.45
Cu: 0.7731 0.7731 0.2269  4 Be 2.28-2.45
Cu: 0.7731 0.7731 0.7731  4 Be 2.28-2.45
Ge: 0.0000 0.5000 0.5000  8 Cu 2.60, 2 Ge 2.91, 4 Be 2.91
Ge: 0.5000 0.0000 0.5000  8 Cu 2.60, 2 Ge 2.91, 4 Be 2.91
Ge: 0.5000 0.5000 0.0000  8 Cu 2.60, 2 Ge 2.91, 4 Be 2.91
Ge: 0.5000 0.5000 0.5000  8 Cu 2.75, 6 Ge 2.91


No. 8
First-principles (GGA-PBE) data for a relaxed structure of Be2CuGe, as listed in the Open Quantum Materials Database.

Computed properties:
uncorrected energy	-3.52	eV/atom
SG	F-43m

Cell lengths 5.7497, 5.7497, 5.7497 Å; angles 90.00, 90.00, 90.00 degrees
With the nearest neighbours (Å) after each atom.
Fractional positions:
Be: 0.0000 0.0000 0.0000  4 Be 2.49, 4 Cu 2.49
Be: 0.0000 0.5000 0.5000  4 Be 2.49, 4 Cu 2.49
Be: 0.2500 0.2500 0.2500  4 Ge 2.49, 4 Be 2.49
Be: 0.2500 0.7500 0.7500  4 Ge 2.49, 4 Be 2.49
Be: 0.5000 0.0000 0.5000  4 Be 2.49, 4 Cu 2.49
Be: 0.5000 0.5000 0.0000  4 Be 2.49, 4 Cu 2.49
Be: 0.7500 0.2500 0.7500  4 Ge 2.49, 4 Be 2.49
Be: 0.7500 0.7500 0.2500  4 Ge 2.49, 4 Be 2.49
Cu: 0.2500 0.2500 0.7500  4 Be 2.49, 4 Ge 2.49
Cu: 0.2500 0.7500 0.2500  4 Be 2.49, 4 Ge 2.49
Cu: 0.7500 0.2500 0.2500  4 Be 2.49, 4 Ge 2.49
Cu: 0.7500 0.7500 0.7500  4 Be 2.49, 4 Ge 2.49
Ge: 0.0000 0.0000 0.5000  4 Be 2.49, 4 Cu 2.49
Ge: 0.0000 0.5000 0.0000  4 Be 2.49, 4 Cu 2.49
Ge: 0.5000 0.0000 0.0000  4 Be 2.49, 4 Cu 2.49
Ge: 0.5000 0.5000 0.5000  4 Be 2.49, 4 Cu 2.49


No. 9
First-principles (GGA-PBE) data for a relaxed structure of BeCuGe2, as listed in the Open Quantum Materials Database.

Computed properties:
uncorrected energy	-3.69	eV/atom
SG	F-43m

Cell lengths 6.2152, 6.2152, 6.2152 Å; angles 90.00, 90.00, 90.00 degrees
With the nearest neighbours (Å) after each atom.
Fractional positions:
Be: 0.0000 0.0000 0.0000  4 Cu 2.69, 4 Ge 2.69
Be: 0.0000 0.5000 0.5000  4 Cu 2.69, 4 Ge 2.69
Be: 0.5000 0.0000 0.5000  4 Cu 2.69, 4 Ge 2.69
Be: 0.5000 0.5000 0.0000  4 Cu 2.69, 4 Ge 2.69
Cu: 0.2500 0.2500 0.2500  4 Ge 2.69, 4 Be 2.69
Cu: 0.2500 0.7500 0.7500  4 Ge 2.69, 4 Be 2.69
Cu: 0.7500 0.2500 0.7500  4 Ge 2.69, 4 Be 2.69
Cu: 0.7500 0.7500 0.2500  4 Ge 2.69, 4 Be 2.69
Ge: 0.0000 0.0000 0.5000  4 Ge 2.69, 4 Cu 2.69
Ge: 0.0000 0.5000 0.0000  4 Ge 2.69, 4 Cu 2.69
Ge: 0.2500 0.2500 0.7500  4 Ge 2.69, 4 Be 2.69
Ge: 0.2500 0.7500 0.2500  4 Ge 2.69, 4 Be 2.69
Ge: 0.5000 0.0000 0.0000  4 Ge 2.69, 4 Cu 2.69
Ge: 0.5000 0.5000 0.5000  4 Ge 2.69, 4 Cu 2.69
Ge: 0.7500 0.2500 0.2500  4 Ge 2.69, 4 Be 2.69
Ge: 0.7500 0.7500 0.7500  4 Ge 2.69, 4 Be 2.69


No. 10
First-principles (GGA-PBE) data for a relaxed structure of BeCu2Ge, as listed in the Open Quantum Materials Database.

Computed properties:
uncorrected energy	-3.83	eV/atom
SG	Pm-3m

Cell lengths 5.8111, 5.8111, 5.8111 Å; angles 90.00, 90.00, 90.00 degrees
With the nearest neighbours (Å) after each atom.
Fractional positions:
Be: 0.0000 0.0000 0.0000  8 Cu 2.29
Be: 0.0000 0.0000 0.5000  8 Cu 2.45
Be: 0.0000 0.5000 0.0000  8 Cu 2.45
Be: 0.5000 0.0000 0.0000  8 Cu 2.45
Cu: 0.2272 0.2272 0.2272  4 Be 2.29-2.45
Cu: 0.2272 0.2272 0.7728  4 Be 2.29-2.45
Cu: 0.2272 0.7728 0.2272  4 Be 2.29-2.45
Cu: 0.2272 0.7728 0.7728  4 Be 2.29-2.45
Cu: 0.7728 0.2272 0.2272  4 Be 2.29-2.45
Cu: 0.7728 0.2272 0.7728  4 Be 2.29-2.45
Cu: 0.7728 0.7728 0.2272  4 Be 2.29-2.45
Cu: 0.7728 0.7728 0.7728  4 Be 2.29-2.45
Ge: 0.0000 0.5000 0.5000  8 Cu 2.60, 2 Ge 2.91, 4 Be 2.91
Ge: 0.5000 0.0000 0.5000  8 Cu 2.60, 2 Ge 2.91, 4 Be 2.91
Ge: 0.5000 0.5000 0.0000  8 Cu 2.60, 2 Ge 2.91, 4 Be 2.91
Ge: 0.5000 0.5000 0.5000  8 Cu 2.75, 6 Ge 2.91


No. 11
First-principles (GGA-PBE) data for a relaxed structure of BeCuGe, as listed in the Open Quantum Materials Database.

Computed properties:
uncorrected energy	-3.92	eV/atom
E above lowest polymorph	0.000	eV per atom
SG	F-43m

Cell lengths 5.4139, 5.4139, 5.4139 Å; angles 90.00, 90.00, 90.00 degrees
With the nearest neighbours (Å) after each atom.
Fractional positions:
Be: 0.0000 0.0000 0.0000  4 Cu 2.34, 4 Ge 2.34
Be: 0.0000 0.5000 0.5000  4 Ge 2.34, 4 Cu 2.34
Be: 0.5000 0.0000 0.5000  4 Ge 2.34, 4 Cu 2.34
Be: 0.5000 0.5000 0.0000  4 Ge 2.34, 4 Cu 2.34
Cu: 0.2500 0.2500 0.7500  4 Be 2.34
Cu: 0.2500 0.7500 0.2500  4 Be 2.34
Cu: 0.7500 0.2500 0.2500  4 Be 2.34
Cu: 0.7500 0.7500 0.7500  4 Be 2.34
Ge: 0.2500 0.2500 0.2500  4 Be 2.34
Ge: 0.2500 0.7500 0.7500  4 Be 2.34
Ge: 0.7500 0.2500 0.7500  4 Be 2.34
Ge: 0.7500 0.7500 0.2500  4 Be 2.34


No. 12
First-principles (GGA-PBE) data for a relaxed structure of BeCu2Ge, as listed in the Open Quantum Materials Database.

Computed properties:
uncorrected energy	-3.74	eV/atom
SG	F-43m

Cell lengths 5.8194, 5.8194, 5.8194 Å; angles 90.00, 90.00, 90.00 degrees
With the nearest neighbours (Å) after each atom.
Fractional positions:
Be: 0.0000 0.0000 0.0000  4 Ge 2.52, 4 Cu 2.52
Be: 0.0000 0.5000 0.5000  4 Ge 2.52, 4 Cu 2.52
Be: 0.5000 0.0000 0.5000  4 Ge 2.52, 4 Cu 2.52
Be: 0.5000 0.5000 0.0000  4 Ge 2.52, 4 Cu 2.52
Cu: 0.0000 0.0000 0.5000  4 Ge 2.52, 4 Cu 2.52
Cu: 0.0000 0.5000 0.0000  4 Ge 2.52, 4 Cu 2.52
Cu: 0.2500 0.2500 0.2500  4 Be 2.52, 4 Cu 2.52
Cu: 0.2500 0.7500 0.7500  4 Be 2.52, 4 Cu 2.52
Cu: 0.5000 0.0000 0.0000  4 Ge 2.52, 4 Cu 2.52
Cu: 0.5000 0.5000 0.5000  4 Ge 2.52, 4 Cu 2.52
Cu: 0.7500 0.2500 0.7500  4 Be 2.52, 4 Cu 2.52
Cu: 0.7500 0.7500 0.2500  4 Be 2.52, 4 Cu 2.52
Ge: 0.2500 0.2500 0.7500  4 Be 2.52, 4 Cu 2.52
Ge: 0.2500 0.7500 0.2500  4 Be 2.52, 4 Cu 2.52
Ge: 0.7500 0.2500 0.2500  4 Be 2.52, 4 Cu 2.52
Ge: 0.7500 0.7500 0.7500  4 Cu 2.52, 4 Be 2.52


No. 13
First-principles (GGA-PBE) data for a relaxed structure of HfBeCuGe, as listed in the Open Quantum Materials Database.

Computed properties:
uncorrected energy	-5.40	eV/atom
magnetic moment	0.01	Bohr magnetons per cell
E above lowest polymorph	0.000	eV per atom
SG	F-43m

Cell lengths 6.1828, 6.1828, 6.1828 Å; angles 90.00, 90.00, 90.00 degrees
With the nearest neighbours (Å) after each atom.
Fractional positions:
Hf: 0.0000 0.0000 0.0000  4 Ge 2.68, 4 Be 2.68
Hf: 0.0000 0.5000 0.5000  4 Ge 2.68, 4 Be 2.68
Hf: 0.5000 0.0000 0.5000  4 Ge 2.68, 4 Be 2.68
Hf: 0.5000 0.5000 0.0000  4 Ge 2.68, 4 Be 2.68
Be: 0.2500 0.2500 0.7500  4 Hf 2.68, 4 Cu 2.68
Be: 0.2500 0.7500 0.2500  4 Hf 2.68, 4 Cu 2.68
Be: 0.7500 0.2500 0.2500  4 Hf 2.68, 4 Cu 2.68
Be: 0.7500 0.7500 0.7500  4 Hf 2.68, 4 Cu 2.68
Cu: 0.0000 0.0000 0.5000  4 Ge 2.68, 4 Be 2.68
Cu: 0.0000 0.5000 0.0000  4 Ge 2.68, 4 Be 2.68
Cu: 0.5000 0.0000 0.0000  4 Ge 2.68, 4 Be 2.68
Cu: 0.5000 0.5000 0.5000  4 Ge 2.68, 4 Be 2.68
Ge: 0.2500 0.2500 0.2500  4 Hf 2.68, 4 Cu 2.68
Ge: 0.2500 0.7500 0.7500  4 Hf 2.68, 4 Cu 2.68
Ge: 0.7500 0.2500 0.7500  4 Hf 2.68, 4 Cu 2.68
Ge: 0.7500 0.7500 0.2500  4 Hf 2.68, 4 Cu 2.68


No. 14
First-principles (GGA-PBE) data for a relaxed structure of HfBeCuGe, as listed in the Open Quantum Materials Database.

Computed properties:
uncorrected energy	-5.34	eV/atom
magnetic moment	0.01	Bohr magnetons per cell
E above lowest polymorph	0.060	eV per atom
SG	F-43m

Cell lengths 6.1668, 6.1668, 6.1668 Å; angles 90.00, 90.00, 90.00 degrees
With the nearest neighbours (Å) after each atom.
Fractional positions:
Hf: 0.0000 0.0000 0.0000  4 Cu 2.67, 4 Be 2.67
Hf: 0.0000 0.5000 0.5000  4 Cu 2.67, 4 Be 2.67
Hf: 0.5000 0.0000 0.5000  4 Cu 2.67, 4 Be 2.67
Hf: 0.5000 0.5000 0.0000  4 Cu 2.67, 4 Be 2.67
Be: 0.2500 0.2500 0.2500  4 Ge 2.67, 4 Hf 2.67
Be: 0.2500 0.7500 0.7500  4 Ge 2.67, 4 Hf 2.67
Be: 0.7500 0.2500 0.7500  4 Ge 2.67, 4 Hf 2.67
Be: 0.7500 0.7500 0.2500  4 Ge 2.67, 4 Hf 2.67
Cu: 0.2500 0.2500 0.7500  4 Ge 2.67, 4 Hf 2.67
Cu: 0.2500 0.7500 0.2500  4 Ge 2.67, 4 Hf 2.67
Cu: 0.7500 0.2500 0.2500  4 Ge 2.67, 4 Hf 2.67
Cu: 0.7500 0.7500 0.7500  4 Hf 2.67, 4 Ge 2.67
Ge: 0.0000 0.0000 0.5000  4 Be 2.67, 4 Cu 2.67
Ge: 0.0000 0.5000 0.0000  4 Be 2.67, 4 Cu 2.67
Ge: 0.5000 0.0000 0.0000  4 Be 2.67, 4 Cu 2.67
Ge: 0.5000 0.5000 0.5000  4 Be 2.67, 4 Cu 2.67